# 1
The following is a GGA-PBE calculation of RbZnGa2Co after structural relaxation, from Alexandria via LeMat-Bulk.

a b c (Å): 4.680 4.680 4.912
angles (deg): 90.00 90.00 90.00
Atoms (fractional coordinates):
Ga 0.500 0.000 0.000
Ga 0.000 0.500 0.000
Co 0.000 0.000 0.000
Rb 0.500 0.500 0.500
Zn 0.000 0.000 0.500

DFT formation energy: -0.0768 eV per atom

=====

# 2
The following is a GGA-PBE calculation of RbLiAgHg2 after structural relaxation, from Alexandria via LeMat-Bulk.

a b c (Å): 5.327 5.327 5.251
angles (deg): 90.00 90.00 90.00
Atoms (fractional coordinates):
Li 0.000 0.000 0.000
Rb 0.500 0.500 0.500
Hg 0.500 0.000 0.000
Hg 0.000 0.500 0.000
Ag 0.000 0.000 0.500

energy above the most stable polymorph in this dataset: 0.0 meV per atom
DFT formation energy: -0.0805 eV per atom

=====

# 3
The following is a GGA-PBE calculation of HoTh2ScS4 after structural relaxation, from Alexandria via LeMat-Bulk.

a b c (Å): 3.858 7.045 6.622
angles (deg): 71.47 90.00 90.00
Atoms (fractional coordinates):
Th 0.000 0.000 0.000
Th 0.500 0.000 0.500
S 0.000 0.277 0.234
S 0.000 0.723 0.766
S 0.500 0.726 0.250
S 0.500 0.274 0.750
Sc 0.500 0.500 0.000
Ho 0.000 0.500 0.500

formation energy (no corrections): -1.86 eV per atom

=====

Q: Which DOS at the Fermi energy values were calculated for the entries above? A: 1.1; 2.1; 5.3, in states/eV per cell.
Q: Which density values were calculated for the entries above? A: 5390; 6702; 7807, in kg/m³.